RuPtBr2 at its PBEsol-relaxed geometry, computed with meta-GGA SCAN.

The structure belongs to space group P4/mmm (No. 123); the cell edges are 3.092, 3.092 and 7.060 Å and the angles 90.00°, 90.00° and 90.00°. The distinct sites, in fractional coordinates, are Ru at (0.000, 0.000, 0.000), Pt at (0.000, 0.000, 0.500) and Br at (0.500, 0.500, 0.227).

Its offset from the most stable computed form is 711.2 meV/atom. The calculation puts the uncorrected formation energy at 4.342 eV per formula unit.



Y3CrPd at its PBEsol-relaxed geometry, computed with meta-GGA SCAN.

The structure belongs to space group Pm-3m (No. 221); the cell edges are 5.319, 5.319 and 5.319 Å and the angles 90.00°, 90.00° and 90.00°. The distinct sites, in fractional coordinates, are Y at (0.000, 0.000, 0.500), Cr at (0.500, 0.500, 0.500) and Pd at (0.000, 0.000, 0.000).

Its energy relative to the elements is -0.002 eV/atom.



CsMg3Cu at its PBEsol-relaxed geometry, computed with meta-GGA SCAN.

The structure belongs to space group Pm-3m (No. 221); the cell edges are 5.190, 5.190 and 5.190 Å and the angles 90.00°, 90.00° and 90.00°. The distinct sites, in fractional coordinates, are Cs at (0.000, 0.000, 0.000), Mg at (0.000, 0.500, 0.500) and Cu at (0.500, 0.500, 0.500).

Its energy relative to the elements is 0.192 eV/atom.